(1)
! PBE SiBPAuC, relaxed; values from VASP
&SYSTEM
  ibrav = 0, nat = 5, ntyp = 5
/
ATOMIC_SPECIES
C 12.01 C.upf
P 30.97 P.upf
Au 196.97 Au.upf
Si 28.09 Si.upf
B 10.81 B.upf
ATOMIC_POSITIONS crystal
C 0.667 0.333 0.455
P 0.667 0.333 0.866
Au 0.667 0.333 0.173
Si 0.333 0.667 0.515
B 0.333 0.667 0.794
CELL_PARAMETERS angstrom
-0.553 -0.100 -3.106
-1.989 -1.412 2.004
-4.150 6.595 0.527
! Space-group type: No. 156
! Raw formation energy in eV/atom: 0.056
! Energy above the lowest structure with this stoichiometry in eV per atom: 0.0816

(2)
! PBE SiBPAuC, relaxed; values from VASP
&SYSTEM
  ibrav = 0, nat = 5, ntyp = 5
/
ATOMIC_SPECIES
P 30.97 P.upf
C 12.01 C.upf
Au 196.97 Au.upf
B 10.81 B.upf
Si 28.09 Si.upf
ATOMIC_POSITIONS crystal
P 0.390 0.258 0.912
C 0.802 0.160 0.718
Au 0.528 0.881 0.166
B 0.575 0.795 0.512
Si 0.886 0.410 0.493
CELL_PARAMETERS angstrom
-1.614 -0.237 -2.432
2.744 -3.060 -0.061
-4.393 -1.855 3.958
! Space-group type: No. 1
! Raw formation energy in eV/atom: 0.284
! Energy above the lowest structure with this stoichiometry in eV per atom: 0.3098

(3)
! PBE SiBPAuC, relaxed; values from VASP
&SYSTEM
  ibrav = 0, nat = 10, ntyp = 5
/
ATOMIC_SPECIES
C 12.01 C.upf
Au 196.97 Au.upf
Si 28.09 Si.upf
P 30.97 P.upf
B 10.81 B.upf
ATOMIC_POSITIONS crystal
C 0.314 0.000 0.335
Au 0.824 0.500 0.224
Si 0.525 0.000 0.165
P 0.184 0.500 0.236
B 0.351 0.000 0.529
Au 0.824 0.000 0.724
B 0.351 0.500 0.029
P 0.184 0.000 0.736
C 0.314 0.500 0.835
Si 0.525 0.500 0.665
CELL_PARAMETERS angstrom
6.785 0.000 0.019
0.000 2.858 0.000
-0.063 0.000 7.855
! Space-group type: No. 8
! Raw formation energy in eV/atom: 0.192
! Energy above the lowest structure with this stoichiometry in eV per atom: 0.2176

(4)
! PBE SiBPAuC, relaxed; values from VASP
&SYSTEM
  ibrav = 0, nat = 5, ntyp = 5
/
ATOMIC_SPECIES
Si 28.09 Si.upf
C 12.01 C.upf
B 10.81 B.upf
P 30.97 P.upf
Au 196.97 Au.upf
ATOMIC_POSITIONS crystal
Si 0.494 0.692 0.468
C 0.927 0.756 0.639
B 0.593 0.123 0.631
P 0.160 0.349 0.860
Au 0.526 0.294 0.204
CELL_PARAMETERS angstrom
3.382 -0.048 0.043
1.581 3.839 0.046
1.023 1.166 5.503
! Space-group type: No. 1
! Raw formation energy in eV/atom: 0.382
! Energy above the lowest structure with this stoichiometry in eV per atom: 0.4078

(5)
! PBE SiBPAuC, relaxed; values from VASP
&SYSTEM
  ibrav = 0, nat = 5, ntyp = 5
/
ATOMIC_SPECIES
Au 196.97 Au.upf
P 30.97 P.upf
Si 28.09 Si.upf
C 12.01 C.upf
B 10.81 B.upf
ATOMIC_POSITIONS crystal
Au 0.007 0.664 0.178
P 0.170 0.592 0.835
Si 0.365 0.613 0.471
C 0.080 0.966 0.660
B 0.474 0.181 0.657
CELL_PARAMETERS angstrom
2.757 0.003 0.078
1.383 3.847 0.042
1.380 0.197 7.088
! Space-group type: No. 1
! Raw formation energy in eV/atom: 0.165
! Energy above the lowest structure with this stoichiometry in eV per atom: 0.1909

(6)
! PBE SiBPAuC, relaxed; values from VASP
&SYSTEM
  ibrav = 0, nat = 5, ntyp = 5
/
ATOMIC_SPECIES
B 10.81 B.upf
C 12.01 C.upf
Si 28.09 Si.upf
P 30.97 P.upf
Au 196.97 Au.upf
ATOMIC_POSITIONS crystal
B 0.500 0.247 0.000
C 0.500 0.443 0.000
Si 0.000 0.575 0.000
P 0.500 0.103 0.500
Au 0.000 0.830 0.500
CELL_PARAMETERS angstrom
3.083 0.000 -0.001
0.000 7.620 0.000
-0.199 0.000 3.107
! Space-group type: No. 3
! Raw formation energy in eV/atom: 0.253
! Energy above the lowest structure with this stoichiometry in eV per atom: 0.2784

(7)
! PBE SiBPAuC, relaxed; values from VASP
&SYSTEM
  ibrav = 0, nat = 5, ntyp = 5
/
ATOMIC_SPECIES
P 30.97 P.upf
Si 28.09 Si.upf
C 12.01 C.upf
Au 196.97 Au.upf
B 10.81 B.upf
ATOMIC_POSITIONS crystal
P 0.067 0.422 0.027
Si 0.158 0.734 0.406
C 0.356 0.427 0.650
Au 0.622 0.003 0.101
B 0.673 0.116 0.618
CELL_PARAMETERS angstrom
4.020 0.000 0.000
1.175 3.908 0.000
1.604 -0.324 4.540
! Space-group type: No. 1
! Raw formation energy in eV/atom: 0.531
! Energy above the lowest structure with this stoichiometry in eV per atom: 0.5569

(8)
! PBE SiBPAuC, relaxed; values from VASP
&SYSTEM
  ibrav = 0, nat = 15, ntyp = 5
/
ATOMIC_SPECIES
P 30.97 P.upf
Si 28.09 Si.upf
B 10.81 B.upf
C 12.01 C.upf
Au 196.97 Au.upf
ATOMIC_POSITIONS crystal
P 0.000 0.000 0.287
Si 0.333 0.667 0.156
B 0.667 0.333 0.250
C 0.333 0.667 0.518
Si 0.667 0.333 0.823
Au 0.333 0.667 0.056
P 0.333 0.667 0.954
Au 0.000 0.000 0.389
C 0.667 0.333 0.185
Au 0.667 0.333 0.722
C 0.000 0.000 0.851
P 0.667 0.333 0.620
B 0.333 0.667 0.584
Si 0.000 0.000 0.489
B 0.000 0.000 0.917
CELL_PARAMETERS angstrom
-0.324 -2.944 -0.826
2.288 0.826 1.881
-14.332 -3.776 19.085
! Space-group type: No. 160
! Raw formation energy in eV/atom: -0.025
! Energy above the lowest structure with this stoichiometry in eV per atom: 0.0000

(9)
! PBE SiBPAuC, relaxed; values from VASP
&SYSTEM
  ibrav = 0, nat = 5, ntyp = 5
/
ATOMIC_SPECIES
Au 196.97 Au.upf
C 12.01 C.upf
P 30.97 P.upf
Si 28.09 Si.upf
B 10.81 B.upf
ATOMIC_POSITIONS crystal
Au 0.307 0.165 0.837
C 0.148 0.852 0.308
P 0.043 0.667 0.041
Si 0.007 0.564 0.515
B 0.371 0.250 0.496
CELL_PARAMETERS angstrom
-1.868 -2.590 1.548
0.529 -0.486 -3.660
5.689 -1.906 2.663
! Space-group type: No. 1
! Raw formation energy in eV/atom: 0.390
! Energy above the lowest structure with this stoichiometry in eV per atom: 0.4152

(10)
! PBE BTeAuC2, relaxed; values from VASP
&SYSTEM
  ibrav = 0, nat = 5, ntyp = 4
/
ATOMIC_SPECIES
C 12.01 C.upf
B 10.81 B.upf
Au 196.97 Au.upf
Te 127.60 Te.upf
ATOMIC_POSITIONS crystal
C 0.500 0.000 0.000
C 0.000 0.000 0.500
B 0.000 0.000 0.000
Au 0.000 0.500 0.000
Te 0.500 0.500 0.500
CELL_PARAMETERS angstrom
3.587 0.000 0.000
0.000 7.800 0.000
0.000 0.000 3.587
! Space-group type: No. 123
! Raw formation energy in eV/atom: 2.050

(11)
! PBE VB2AuC, relaxed; values from VASP
&SYSTEM
  ibrav = 0, nat = 5, ntyp = 4
/
ATOMIC_SPECIES
B 10.81 B.upf
V 50.94 V.upf
C 12.01 C.upf
Au 196.97 Au.upf
ATOMIC_POSITIONS crystal
B 0.000 0.000 0.500
V 0.500 0.500 0.500
C 0.000 0.500 0.000
Au 0.000 0.000 0.000
B 0.500 0.000 0.000
CELL_PARAMETERS angstrom
3.918 0.000 0.000
0.000 4.894 0.000
0.000 0.000 3.918
! Space-group type: No. 123
! E_form in meV/atom: 2416

(12)
! PBE CaBAu3, relaxed; values from VASP
&SYSTEM
  ibrav = 0, nat = 5, ntyp = 3
/
ATOMIC_SPECIES
Au 196.97 Au.upf
Ca 40.08 Ca.upf
B 10.81 B.upf
ATOMIC_POSITIONS crystal
Au 0.000 0.000 0.500
Ca 0.000 0.000 0.000
B 0.500 0.500 0.500
Au 0.000 0.500 0.000
Au 0.500 0.000 0.000
CELL_PARAMETERS angstrom
-2.603 2.838 -3.915
1.917 -3.476 -3.794
-4.439 -3.165 0.657
! Space-group type: No. 221
! E_form in meV/atom: 1420
! Energy above the lowest structure with this stoichiometry in eV per atom: 1.7011

(13)
! PBE CaBAu3, relaxed; values from VASP
&SYSTEM
  ibrav = 0, nat = 5, ntyp = 3
/
ATOMIC_SPECIES
Au 196.97 Au.upf
B 10.81 B.upf
Ca 40.08 Ca.upf
ATOMIC_POSITIONS crystal
Au 0.000 0.000 0.500
Au 0.500 0.000 0.000
Au 0.000 0.500 0.000
B 0.000 0.000 0.000
Ca 0.500 0.500 0.500
CELL_PARAMETERS angstrom
4.519 0.000 0.000
0.000 4.519 0.000
0.000 0.000 4.519
! Space-group type: No. 221
! E_form in meV/atom: -281
! Energy above the lowest structure with this stoichiometry in eV per atom: 0.0000

(14)
! PBE Ca3BAu, relaxed; values from VASP
&SYSTEM
  ibrav = 0, nat = 5, ntyp = 3
/
ATOMIC_SPECIES
Au 196.97 Au.upf
Ca 40.08 Ca.upf
B 10.81 B.upf
ATOMIC_POSITIONS crystal
Au 0.500 0.500 0.500
Ca 0.500 0.000 0.000
B 0.000 0.000 0.000
Ca 0.000 0.500 0.000
Ca 0.000 0.000 0.500
CELL_PARAMETERS angstrom
-1.652 3.604 -3.361
-4.376 -2.703 -0.748
-2.266 2.592 3.893
! Space-group type: No. 221
! E_form in meV/atom: 21
! Energy above the lowest structure with this stoichiometry in eV per atom: 0.0000

(15)
! PBE Ca2BAu, relaxed; values from VASP
&SYSTEM
  ibrav = 0, nat = 8, ntyp = 3
/
ATOMIC_SPECIES
Au 196.97 Au.upf
Ca 40.08 Ca.upf
B 10.81 B.upf
ATOMIC_POSITIONS crystal
Au 0.750 0.250 0.500
Ca 0.164 0.625 0.250
Ca 0.375 0.414 0.750
Ca 0.586 0.125 0.250
B 0.250 0.750 0.500
Au 0.000 0.000 0.000
Ca 0.875 0.836 0.750
B 0.500 0.500 0.000
CELL_PARAMETERS angstrom
-5.105 3.460 4.313
0.222 -5.737 4.866
0.115 0.447 6.343
! Space-group type: No. 122
! E_form in meV/atom: 297

(16)
! PBE CaB2Au, relaxed; values from VASP
&SYSTEM
  ibrav = 0, nat = 8, ntyp = 3
/
ATOMIC_SPECIES
Ca 40.08 Ca.upf
B 10.81 B.upf
Au 196.97 Au.upf
ATOMIC_POSITIONS crystal
Ca 0.250 0.750 0.500
B 0.875 0.625 0.250
Au 0.000 0.000 0.000
Au 0.750 0.250 0.500
B 0.875 0.125 0.750
B 0.375 0.125 0.750
Ca 0.500 0.500 0.000
B 0.875 0.125 0.250
CELL_PARAMETERS angstrom
4.147 0.000 0.000
0.000 4.147 0.000
2.073 2.073 7.526
! Space-group type: No. 141
! E_form in meV/atom: 276
! Energy above the lowest structure with this stoichiometry in eV per atom: 0.0000

(17)
! PBE CaB2Au, relaxed; values from VASP
&SYSTEM
  ibrav = 0, nat = 4, ntyp = 3
/
ATOMIC_SPECIES
B 10.81 B.upf
Ca 40.08 Ca.upf
Au 196.97 Au.upf
ATOMIC_POSITIONS crystal
B 0.750 0.750 0.750
Ca 0.000 0.000 0.000
B 0.250 0.250 0.250
Au 0.500 0.500 0.500
CELL_PARAMETERS angstrom
0.000 3.028 3.028
3.028 0.000 3.028
3.028 3.028 0.000
! Space-group type: No. 225
! E_form in meV/atom: 792
! Energy above the lowest structure with this stoichiometry in eV per atom: 0.5153

(18)
! PBE CaBAu2, relaxed; values from VASP
&SYSTEM
  ibrav = 0, nat = 8, ntyp = 3
/
ATOMIC_SPECIES
B 10.81 B.upf
Au 196.97 Au.upf
Ca 40.08 Ca.upf
ATOMIC_POSITIONS crystal
B 0.250 0.750 0.500
B 0.500 0.500 0.000
Au 0.375 0.531 0.750
Au 0.469 0.125 0.250
Au 0.281 0.625 0.250
Ca 0.750 0.250 0.500
Au 0.875 0.719 0.750
Ca 0.000 0.000 0.000
CELL_PARAMETERS angstrom
5.311 0.000 0.000
0.000 5.311 0.000
2.655 2.655 6.503
! Space-group type: No. 122
! E_form in meV/atom: -46

(19)
! PBE Ca2BIrAu, relaxed; values from VASP
&SYSTEM
  ibrav = 0, nat = 5, ntyp = 4
/
ATOMIC_SPECIES
B 10.81 B.upf
Au 196.97 Au.upf
Ca 40.08 Ca.upf
Ir 192.22 Ir.upf
ATOMIC_POSITIONS crystal
B 0.000 0.000 0.000
Au 0.000 0.500 0.000
Ca 0.000 0.000 0.500
Ir 0.500 0.500 0.500
Ca 0.500 0.000 0.000
CELL_PARAMETERS angstrom
5.183 0.000 0.000
0.000 3.980 0.000
0.000 0.000 5.183
! Space-group type: No. 123
! E_form in meV/atom: 182

(20)
! PBE CaBAu2O, relaxed; values from VASP
&SYSTEM
  ibrav = 0, nat = 5, ntyp = 4
/
ATOMIC_SPECIES
Au 196.97 Au.upf
O 16.00 O.upf
Ca 40.08 Ca.upf
B 10.81 B.upf
ATOMIC_POSITIONS crystal
Au 0.000 0.000 0.500
O 0.500 0.500 0.500
Ca 0.000 0.500 0.000
B 0.000 0.000 0.000
Au 0.500 0.000 0.000
CELL_PARAMETERS angstrom
4.061 0.000 0.000
0.000 5.951 0.000
0.000 0.000 4.061
! Space-group type: No. 123
! Raw formation energy in eV/atom: -0.163